[1]
# LiPaTlZn GGA-PBE relaxed
# - V: 357.4 Å³ per cell
# - Energy relative to the elements: 0.120 eV/atom
# - Total magnetic moment: 0.76 μB per formula unit
# - Crystal system: cubic
data_LiPaTlZn
_chemical_formula_sum 'Li4 Pa4 Tl4 Zn4'
_cell_length_a 7.096
_cell_length_b 7.096
_cell_length_c 7.096
_cell_angle_alpha 90.00
_cell_angle_beta 90.00
_cell_angle_gamma 90.00
_symmetry_space_group_name_H-M 'F -4 3 m'
_symmetry_Int_Tables_number 216
_symmetry_space_group_name_Hall 'F -4 2 3'
loop_
_atom_site_label
_atom_site_type_symbol
_atom_site_fract_x
_atom_site_fract_y
_atom_site_fract_z
_atom_site_occupancy
Li1 Li 0.000 0.000 0.000 1
Pa1 Pa 0.000 0.000 0.500 1
Tl1 Tl 0.250 0.250 0.750 1
Zn1 Zn 0.250 0.250 0.250 1

=====

[2]
# LiTm2Pa GGA-PBE relaxed
# - V: 105.4 Å³ per cell
# - Energy relative to the elements: 0.130 eV/atom
# - Total magnetic moment: 0.00 μB per formula unit
# - Relative energy among the computed polymorphs: 0 meV per atom
# - Crystal system: tetragonal
data_LiTm2Pa
_chemical_formula_sum 'Li1 Tm2 Pa1'
_cell_length_a 3.383
_cell_length_b 3.383
_cell_length_c 9.211
_cell_angle_alpha 90.00
_cell_angle_beta 90.00
_cell_angle_gamma 90.00
_symmetry_space_group_name_H-M 'P 4/m m m'
_symmetry_Int_Tables_number 123
_symmetry_space_group_name_Hall '-P 4 2'
loop_
_atom_site_label
_atom_site_type_symbol
_atom_site_fract_x
_atom_site_fract_y
_atom_site_fract_z
_atom_site_occupancy
Li1 Li 0.000 0.000 0.000 1
Tm1 Tm 0.500 0.500 0.251 1
Pa1 Pa 0.000 0.000 0.500 1

=====

[3]
# LiTm2Pa GGA-PBE relaxed
# - V: 314.8 Å³ per cell
# - Energy relative to the elements: 0.331 eV/atom
# - Total magnetic moment: 0.00 μB per formula unit
# - Relative energy among the computed polymorphs: 201 meV per atom
# - Crystal system: trigonal
data_LiTm2Pa
_chemical_formula_sum 'Li3 Tm6 Pa3'
_cell_length_a 3.2117
_cell_length_b 3.2117
_cell_length_c 35.2403
_cell_angle_alpha 90.00
_cell_angle_beta 90.00
_cell_angle_gamma 120.00
_symmetry_space_group_name_H-M 'R -3 m'
_symmetry_Int_Tables_number 166
_symmetry_space_group_name_Hall '-R 3 2"'
loop_
_atom_site_label
_atom_site_type_symbol
_atom_site_fract_x
_atom_site_fract_y
_atom_site_fract_z
_atom_site_occupancy
Li1 Li 0.0000 0.0000 0.0000 1
Tm1 Tm 0.0000 0.0000 0.4107 1
Pa1 Pa 0.0000 0.0000 0.5000 1

=====

[4]
# LiY2Pa GGA-PBE relaxed
# - V: 328.2 Å³ per cell
# - Energy relative to the elements: 0.366 eV/atom
# - Total magnetic moment: 0.00 μB per formula unit
# - Relative energy among the computed polymorphs: 221 meV per atom
# - Crystal system: trigonal
data_LiY2Pa
_chemical_formula_sum 'Li3 Y6 Pa3'
_cell_length_a 3.2560
_cell_length_b 3.2560
_cell_length_c 35.7505
_cell_angle_alpha 90.00
_cell_angle_beta 90.00
_cell_angle_gamma 120.00
_symmetry_space_group_name_H-M 'R -3 m'
_symmetry_Int_Tables_number 166
_symmetry_space_group_name_Hall '-R 3 2"'
loop_
_atom_site_label
_atom_site_type_symbol
_atom_site_fract_x
_atom_site_fract_y
_atom_site_fract_z
_atom_site_occupancy
Li1 Li 0.0000 0.0000 0.0000 1
Y1 Y 0.0000 0.0000 0.4106 1
Pa1 Pa 0.0000 0.0000 0.5000 1

=====

[5]
# LiY2Pa GGA-PBE relaxed
# - V: 108.6 Å³ per cell
# - Energy relative to the elements: 0.145 eV/atom
# - Total magnetic moment: 0.00 μB per formula unit
# - Relative energy among the computed polymorphs: 0 meV per atom
# - Crystal system: tetragonal
data_LiY2Pa
_chemical_formula_sum 'Li1 Y2 Pa1'
_cell_length_a 3.422
_cell_length_b 3.422
_cell_length_c 9.276
_cell_angle_alpha 90.00
_cell_angle_beta 90.00
_cell_angle_gamma 90.00
_symmetry_space_group_name_H-M 'P 4/m m m'
_symmetry_Int_Tables_number 123
_symmetry_space_group_name_Hall '-P 4 2'
loop_
_atom_site_label
_atom_site_type_symbol
_atom_site_fract_x
_atom_site_fract_y
_atom_site_fract_z
_atom_site_occupancy
Li1 Li 0.000 0.000 0.000 1
Y1 Y 0.500 0.500 0.249 1
Pa1 Pa 0.000 0.000 0.500 1

=====

[6]
# LiPaZn4 GGA-PBE relaxed
# - V: 425.0 Å³ per cell
# - Energy relative to the elements: -0.006 eV/atom
# - Total magnetic moment: 0.00 μB per formula unit
# - Relative energy among the computed polymorphs: 93 meV per atom
# - Crystal system: cubic
data_LiPaZn4
_chemical_formula_sum 'Li4 Pa4 Zn16'
_cell_length_a 7.519
_cell_length_b 7.519
_cell_length_c 7.519
_cell_angle_alpha 90.00
_cell_angle_beta 90.00
_cell_angle_gamma 90.00
_symmetry_space_group_name_H-M 'F -4 3 m'
_symmetry_Int_Tables_number 216
_symmetry_space_group_name_Hall 'F -4 2 3'
loop_
_atom_site_label
_atom_site_type_symbol
_atom_site_fract_x
_atom_site_fract_y
_atom_site_fract_z
_atom_site_occupancy
Li1 Li 0.000 0.000 0.000 1
Pa1 Pa 0.250 0.250 0.250 1
Zn1 Zn 0.125 0.125 0.625 1

=====

[7]
# LiPaZn4 GGA-PBE relaxed
# - V: 108.1 Å³ per cell
# - Energy relative to the elements: -0.100 eV/atom
# - Total magnetic moment: 0.00 μB per formula unit
# - Relative energy among the computed polymorphs: 0 meV per atom
# - Crystal system: monoclinic
data_LiPaZn4
_chemical_formula_sum 'Li1 Pa1 Zn4'
_cell_length_a 3.007
_cell_length_b 4.537
_cell_length_c 7.924
_cell_angle_alpha 90.00
_cell_angle_beta 90.07
_cell_angle_gamma 90.00
_symmetry_space_group_name_H-M 'P 1 2/m 1'
_symmetry_Int_Tables_number 10
loop_
_symmetry_equiv_pos_as_xyz
'x,y,z'
'-x,-y,-z'
'-x,y,-z'
'x,-y,z'
loop_
_atom_site_label
_atom_site_type_symbol
_atom_site_fract_x
_atom_site_fract_y
_atom_site_fract_z
_atom_site_occupancy
Li1 Li 0.000 0.000 0.000 1
Pa1 Pa 0.000 0.500 0.500 1
Zn1 Zn 0.498 0.500 0.157 1
Zn2 Zn 0.500 0.000 0.319 1

=====

[8]
# Li2Pa2Zn15 GGA-PBE relaxed
# - V: 916.4 Å³ per cell
# - Energy relative to the elements: -0.130 eV/atom
# - Total magnetic moment: 1.08 μB per formula unit
# - Crystal system: trigonal
data_Li2Pa2Zn15
_chemical_formula_sum 'Li6 Pa6 Zn45'
_cell_length_a 8.9810
_cell_length_b 8.9810
_cell_length_c 13.1189
_cell_angle_alpha 90.00
_cell_angle_beta 90.00
_cell_angle_gamma 120.00
_symmetry_space_group_name_H-M 'R -3 m'
_symmetry_Int_Tables_number 166
_symmetry_space_group_name_Hall '-R 3 2"'
loop_
_atom_site_label
_atom_site_type_symbol
_atom_site_fract_x
_atom_site_fract_y
_atom_site_fract_z
_atom_site_occupancy
Li1 Li 0.0000 0.0000 0.1003 1
Pa1 Pa 0.0000 0.0000 0.3436 1
Zn1 Zn 0.0000 0.2953 0.0000 1
Zn2 Zn 0.0000 0.5000 0.5000 1
Zn3 Zn 0.0054 0.5027 0.1514 1

=====

[9]
# Li2PaZn9 GGA-PBE relaxed
# - V: 602.8 Å³ per cell
# - Energy relative to the elements: -0.090 eV/atom
# - Total magnetic moment: 0.00 μB per formula unit
# - Crystal system: trigonal
data_Li2PaZn9
_chemical_formula_sum 'Li6 Pa3 Zn27'
_cell_length_a 5.2384
_cell_length_b 5.2384
_cell_length_c 25.3651
_cell_angle_alpha 90.00
_cell_angle_beta 90.00
_cell_angle_gamma 120.00
_symmetry_space_group_name_H-M 'R -3 m'
_symmetry_Int_Tables_number 166
_symmetry_space_group_name_Hall '-R 3 2"'
loop_
_atom_site_label
_atom_site_type_symbol
_atom_site_fract_x
_atom_site_fract_y
_atom_site_fract_z
_atom_site_occupancy
Li1 Li 0.0000 0.0000 0.1406 1
Pa1 Pa 0.0000 0.0000 0.0000 1
Zn1 Zn 0.0000 0.0000 0.3343 1
Zn2 Zn 0.0000 0.0000 0.5000 1
Zn3 Zn 0.0060 0.5030 0.9142 1

=====

[10]
# LiPaZn10 GGA-PBE relaxed
# - V: 202.3 Å³ per cell
# - Energy relative to the elements: -0.077 eV/atom
# - Total magnetic moment: 0.00 μB per formula unit
# - Crystal system: orthorhombic
data_LiPaZn10
_chemical_formula_sum 'Li1 Pa1 Zn10'
_cell_length_a 4.278
_cell_length_b 5.161
_cell_length_c 9.164
_cell_angle_alpha 90.00
_cell_angle_beta 90.00
_cell_angle_gamma 90.00
_symmetry_space_group_name_H-M 'P m m m'
_symmetry_Int_Tables_number 47
loop_
_symmetry_equiv_pos_as_xyz
'x,y,z'
'-x,-y,-z'
'-x,-y,z'
'x,y,-z'
'x,-y,-z'
'-x,y,z'
'-x,y,-z'
'x,-y,z'
loop_
_atom_site_label
_atom_site_type_symbol
_atom_site_fract_x
_atom_site_fract_y
_atom_site_fract_z
_atom_site_occupancy
Li1 Li 0.000 0.000 0.000 1
Pa1 Pa 0.000 0.500 0.500 1
Zn1 Zn 0.000 0.000 0.308 1
Zn2 Zn 0.000 0.500 0.154 1
Zn3 Zn 0.500 0.000 0.500 1
Zn4 Zn 0.500 0.260 0.264 1
Zn5 Zn 0.500 0.500 0.000 1

=====

[11]
# LiPa2Zn6 GGA-PBE relaxed
# - V: 167.1 Å³ per cell
# - Energy relative to the elements: -0.087 eV/atom
# - Total magnetic moment: 0.01 μB per formula unit
# - Crystal system: hexagonal
data_LiPa2Zn6
_chemical_formula_sum 'Li1 Pa2 Zn6'
_cell_length_a 7.9340
_cell_length_b 7.9340
_cell_length_c 3.0660
_cell_angle_alpha 90.00
_cell_angle_beta 90.00
_cell_angle_gamma 120.00
_symmetry_space_group_name_H-M 'P 6/m m m'
_symmetry_Int_Tables_number 191
_symmetry_space_group_name_Hall '-P 6 2'
loop_
_atom_site_label
_atom_site_type_symbol
_atom_site_fract_x
_atom_site_fract_y
_atom_site_fract_z
_atom_site_occupancy
Li1 Li 0.0000 0.0000 0.0000 1
Pa1 Pa 0.3333 0.6667 0.0000 1
Zn1 Zn 0.0000 0.3231 0.5000 1

=====

[12]
# Li3Pb GGA-PBE relaxed
# - V: 298.9 Å³ per cell
# - Energy relative to the elements: -0.320 eV/atom
# - Total magnetic moment: 0.00 μB per formula unit
# - Relative energy among the computed polymorphs: 0 meV per atom
# - Crystal system: cubic
data_Li3Pb
_chemical_formula_sum 'Li12 Pb4'
_cell_length_a 6.686
_cell_length_b 6.686
_cell_length_c 6.686
_cell_angle_alpha 90.00
_cell_angle_beta 90.00
_cell_angle_gamma 90.00
_symmetry_space_group_name_H-M 'F m -3 m'
_symmetry_Int_Tables_number 225
_symmetry_space_group_name_Hall '-F 4 2 3'
loop_
_atom_site_label
_atom_site_type_symbol
_atom_site_fract_x
_atom_site_fract_y
_atom_site_fract_z
_atom_site_occupancy
Li1 Li 0.000 0.000 0.000 1
Li2 Li 0.250 0.250 0.250 1
Pb1 Pb 0.000 0.000 0.500 1